Computed, not measured: crystalline Ca3Si3Ni2O12 at its relaxed geometry at the PBE+U level of DFT.

abc: 10.5311 10.5311 10.5311
angles: 109.47 109.47 109.47
Atoms (fractional coordinates):
Ca 0.1250 0.2500 0.3750
Ca 0.1250 0.3750 0.7500
Ca 0.2500 0.3750 0.1250
Ca 0.2500 0.8750 0.6250
Ca 0.3750 0.1250 0.2500
Ca 0.3750 0.7500 0.1250
Ca 0.6250 0.2500 0.8750
Ca 0.6250 0.8750 0.7500
Ca 0.7500 0.1250 0.3750
Ca 0.7500 0.6250 0.8750
Ca 0.8750 0.6250 0.2500
Ca 0.8750 0.7500 0.6250
Si 0.1250 0.7500 0.8750
Si 0.1250 0.8750 0.2500
Si 0.2500 0.1250 0.8750
Si 0.2500 0.6250 0.3750
Si 0.3750 0.2500 0.6250
Si 0.3750 0.6250 0.7500
Si 0.6250 0.3750 0.2500
Si 0.6250 0.7500 0.3750
Si 0.7500 0.3750 0.6250
Si 0.7500 0.8750 0.1250
Si 0.8750 0.1250 0.7500
Si 0.8750 0.2500 0.1250
Ni 0.0000 0.0000 0.0000
Ni 0.0000 0.0000 0.5000
Ni 0.0000 0.5000 0.0000
Ni 0.0000 0.5000 0.5000
Ni 0.5000 0.0000 0.0000
Ni 0.5000 0.0000 0.5000
Ni 0.5000 0.5000 0.0000
Ni 0.5000 0.5000 0.5000
O 0.0105 0.2058 0.1174
O 0.0105 0.3047 0.8931
O 0.0884 0.7058 0.6953
O 0.0884 0.8826 0.3931
O 0.1069 0.6174 0.4116
O 0.1069 0.9895 0.6953
O 0.1174 0.0105 0.2058
O 0.1174 0.6069 0.9116
O 0.1953 0.2058 0.5884
O 0.1953 0.4895 0.6069
O 0.2058 0.1174 0.0105
O 0.2058 0.5884 0.1953
O 0.2942 0.3047 0.9116
O 0.2942 0.4895 0.3826
O 0.3047 0.8931 0.0105
O 0.3047 0.9116 0.2942
O 0.3826 0.2942 0.4895
O 0.3826 0.5884 0.8931
O 0.3931 0.0884 0.8826
O 0.3931 0.8047 0.5105
O 0.4116 0.1069 0.6174
O 0.4116 0.8047 0.7942
O 0.4895 0.3826 0.2942
O 0.4895 0.6069 0.1953
O 0.5105 0.3931 0.8047
O 0.5105 0.6174 0.7058
O 0.5884 0.1953 0.2058
O 0.5884 0.8931 0.3826
O 0.6069 0.1953 0.4895
O 0.6069 0.9116 0.1174
O 0.6174 0.4116 0.1069
O 0.6174 0.7058 0.5105
O 0.6953 0.0884 0.7058
O 0.6953 0.1069 0.9895
O 0.7058 0.5105 0.6174
O 0.7058 0.6953 0.0884
O 0.7942 0.4116 0.8047
O 0.7942 0.8826 0.9895
O 0.8047 0.5105 0.3931
O 0.8047 0.7942 0.4116
O 0.8826 0.3931 0.0884
O 0.8826 0.9895 0.7942
O 0.8931 0.0105 0.3047
O 0.8931 0.3826 0.5884
O 0.9116 0.1174 0.6069
O 0.9116 0.2942 0.3047
O 0.9895 0.6953 0.1069
O 0.9895 0.7942 0.8826

Properties
The calculation puts the raw total energy at -6.75 eV/atom. For the density of states at the Fermi level, the calculation gives 0.367 states/eV per atom. The space group is Ia-3d (230).